Run i
A geometry-optimized Ac2Ag3Ge structure, computed with GGA-PBE.

Results
Density (g cm⁻³): 8.74

Geometry as CIF:
```
data_Ac2Ag3Ge
_cell_length_a 4.086
_cell_length_b 4.684
_cell_length_c 8.440
_cell_angle_alpha 90.00
_cell_angle_beta 90.00
_cell_angle_gamma 90.00
_space_group_name_H-M_alt 'P m m 2'
_space_group_IT_number 25
_space_group_name_Hall 'P 2 -2'
loop_
_atom_site_label
_atom_site_fract_x
_atom_site_fract_y
_atom_site_fract_z
Ac1 0.000 0.000 0.000
Ac2 0.000 0.500 0.484
Ag1 0.500 0.000 0.651
Ag2 0.500 0.500 0.165
Ag3 0.500 0.500 0.832
Ge1 0.500 0.000 0.326
```

---

Run ii
A geometry-optimized Ac2Ag3Ge structure, computed with GGA-PBE.

Results
Density (g cm⁻³): 8.73

Geometry as CIF:
```
data_Ac2Ag3Ge
_cell_length_a 8.187
_cell_length_b 9.533
_cell_length_c 16.568
_cell_angle_alpha 90.00
_cell_angle_beta 90.00
_cell_angle_gamma 90.00
_space_group_name_H-M_alt 'F m m m'
_space_group_IT_number 69
_space_group_name_Hall '-F 2 2'
loop_
_atom_site_label
_atom_site_fract_x
_atom_site_fract_y
_atom_site_fract_z
Ac1 0.243 0.000 0.000
Ac2 0.250 0.250 0.250
Ag1 0.000 0.000 0.170
Ag2 0.000 0.244 0.415
Ge1 0.000 0.000 0.335
```

---

Q: Which of them is the most stable? A: run ii.

---

Run i
A geometry-optimized Ac2Ag2Ge3 structure, computed with GGA-PBE.

Results
Density (g cm⁻³): 8.62

Geometry as CIF:
```
data_Ac2Ag2Ge3
_cell_length_a 4.719
_cell_length_b 19.702
_cell_length_c 7.355
_cell_angle_alpha 90.00
_cell_angle_beta 90.00
_cell_angle_gamma 90.00
_space_group_name_H-M_alt 'C m c m'
_space_group_IT_number 63
_space_group_name_Hall '-C 2c 2'
loop_
_atom_site_label
_atom_site_fract_x
_atom_site_fract_y
_atom_site_fract_z
Ac1 0.000 0.053 0.250
Ac2 0.000 0.157 0.750
Ag1 0.000 0.313 0.559
Ge1 0.000 0.222 0.250
Ge2 0.000 0.441 0.073
```

---

Run ii
A geometry-optimized Ac2Ag2Ge3 structure, computed with GGA-PBE.

Results
Density (g cm⁻³): 8.54

Geometry as CIF:
```
data_Ac2Ag2Ge3
_cell_length_a 10.978
_cell_length_b 4.637
_cell_length_c 7.140
_cell_angle_alpha 90.00
_cell_angle_beta 108.20
_cell_angle_gamma 90.00
_space_group_name_H-M_alt 'C 1 2/m 1'
_space_group_IT_number 12
_space_group_name_Hall '-C 2y'
loop_
_atom_site_label
_atom_site_fract_x
_atom_site_fract_y
_atom_site_fract_z
Ac1 0.144 0.000 0.281
Ag1 0.160 0.000 0.785
Ge1 0.000 0.500 0.500
Ge2 0.094 0.500 0.933
```

---

Q: Which of them is the most stable? A: run i.

---

Run i
A geometry-optimized Ac2AgGe3 structure, computed with GGA-PBE.

Results
Density (g cm⁻³): 8.21

Geometry as CIF:
```
data_Ac2AgGe3
_cell_length_a 4.487
_cell_length_b 4.639
_cell_length_c 7.581
_cell_angle_alpha 90.00
_cell_angle_beta 90.00
_cell_angle_gamma 90.00
_space_group_name_H-M_alt 'P m m 2'
_space_group_IT_number 25
_space_group_name_Hall 'P 2 -2'
loop_
_atom_site_label
_atom_site_fract_x
_atom_site_fract_y
_atom_site_fract_z
Ac1 0.000 0.000 0.000
Ac2 0.000 0.500 0.485
Ag1 0.500 0.500 0.824
Ge1 0.500 0.000 0.324
Ge2 0.500 0.000 0.661
Ge3 0.500 0.500 0.167
```

---

Run ii
A geometry-optimized Ac2AgGe3 structure, computed with GGA-PBE.

Results
Density (g cm⁻³): 8.29

Geometry as CIF:
```
data_Ac2AgGe3
_cell_length_a 8.914
_cell_length_b 9.139
_cell_length_c 15.338
_cell_angle_alpha 90.00
_cell_angle_beta 90.00
_cell_angle_gamma 90.00
_space_group_name_H-M_alt 'F m m m'
_space_group_IT_number 69
_space_group_name_Hall '-F 2 2'
loop_
_atom_site_label
_atom_site_fract_x
_atom_site_fract_y
_atom_site_fract_z
Ac1 0.000 0.243 0.000
Ac2 0.250 0.250 0.250
Ag1 0.000 0.000 0.334
Ge1 0.000 0.000 0.166
Ge2 0.250 0.000 0.083
```

---

Q: Which of them is the most stable? A: run ii.

---

Run i
A geometry-optimized AcAgH2 structure, computed with GGA-PBE.

Results
Density (g cm⁻³): 8.57

Geometry as CIF:
```
data_AcAgH2
_cell_length_a 6.392
_cell_length_b 6.392
_cell_length_c 6.392
_cell_angle_alpha 90.00
_cell_angle_beta 90.00
_cell_angle_gamma 90.00
_space_group_name_H-M_alt 'F m -3 m'
_space_group_IT_number 225
_space_group_name_Hall '-F 4 2 3'
loop_
_atom_site_label
_atom_site_fract_x
_atom_site_fract_y
_atom_site_fract_z
Ac1 0.000 0.000 0.000
Ag1 0.000 0.000 0.500
H1 0.250 0.250 0.250
```

---

Run ii
A geometry-optimized AcAgH2 structure, computed with GGA-PBE.

Results
Density (g cm⁻³): 7.45

Geometry as CIF:
```
data_AcAgH2
_cell_length_a 4.2673
_cell_length_b 4.2673
_cell_length_c 14.2776
_cell_angle_alpha 90.00
_cell_angle_beta 90.00
_cell_angle_gamma 120.00
_space_group_name_H-M_alt 'R -3 m'
_space_group_IT_number 166
_space_group_name_Hall '-R 3 2"'
loop_
_atom_site_label
_atom_site_fract_x
_atom_site_fract_y
_atom_site_fract_z
Ac1 0.0000 0.0000 0.0000
Ag1 0.0000 0.0000 0.5000
H1 0.0000 0.0000 0.3622
```

---

Q: Which of them is the most stable? A: run ii.

---

Run i
A geometry-optimized Ac2AgH structure, computed with GGA-PBE.

Results
Density (g cm⁻³): 8.24

Geometry as CIF:
```
data_Ac2AgH
_cell_length_a 4.2172
_cell_length_b 4.2172
_cell_length_c 22.1068
_cell_angle_alpha 90.00
_cell_angle_beta 90.00
_cell_angle_gamma 120.00
_space_group_name_H-M_alt 'R -3 m'
_space_group_IT_number 166
_space_group_name_Hall '-R 3 2"'
loop_
_atom_site_label
_atom_site_fract_x
_atom_site_fract_y
_atom_site_fract_z
Ac1 0.0000 0.0000 0.2361
Ag1 0.0000 0.0000 0.0000
H1 0.0000 0.0000 0.5000
```

---

Run ii
A geometry-optimized Ac2AgH structure, computed with GGA-PBE.

Results
Density (g cm⁻³): 8.77

Geometry as CIF:
```
data_Ac2AgH
_cell_length_a 3.700
_cell_length_b 3.700
_cell_length_c 7.789
_cell_angle_alpha 90.00
_cell_angle_beta 90.00
_cell_angle_gamma 90.00
_space_group_name_H-M_alt 'P 4/m m m'
_space_group_IT_number 123
_space_group_name_Hall '-P 4 2'
loop_
_atom_site_label
_atom_site_fract_x
_atom_site_fract_y
_atom_site_fract_z
Ac1 0.000 0.000 0.234
Ag1 0.500 0.500 0.500
H1 0.500 0.500 0.000
```

---

Q: Which of them is the most stable? A: run i.

---

Run i
A geometry-optimized Ac2Ag2Hg3 structure, computed with GGA-PBE.

Results
Density (g cm⁻³): 10.69

Geometry as CIF:
```
data_Ac2Ag2Hg3
_cell_length_a 11.426
_cell_length_b 4.498
_cell_length_c 7.689
_cell_angle_alpha 90.00
_cell_angle_beta 91.21
_cell_angle_gamma 90.00
_space_group_name_H-M_alt 'C 1 2/m 1'
_space_group_IT_number 12
_space_group_name_Hall '-C 2y'
loop_
_atom_site_label
_atom_site_fract_x
_atom_site_fract_y
_atom_site_fract_z
Ac1 0.127 0.000 0.301
Ag1 0.087 0.500 0.630
Hg1 0.000 0.500 0.000
Hg2 0.177 0.000 0.853
```

---

Run ii
A geometry-optimized Ac2Ag2Hg3 structure, computed with GGA-PBE.

Results
Density (g cm⁻³): 10.76

Geometry as CIF:
```
data_Ac2Ag2Hg3
_cell_length_a 4.426
_cell_length_b 21.350
_cell_length_c 8.308
_cell_angle_alpha 90.00
_cell_angle_beta 90.00
_cell_angle_gamma 90.00
_space_group_name_H-M_alt 'C m c m'
_space_group_IT_number 63
_space_group_name_Hall '-C 2c 2'
loop_
_atom_site_label
_atom_site_fract_x
_atom_site_fract_y
_atom_site_fract_z
Ac1 0.000 0.065 0.250
Ac2 0.000 0.160 0.750
Ag1 0.000 0.314 0.557
Hg1 0.000 0.226 0.250
Hg2 0.000 0.440 0.073
```

---

Q: Which of them is the most stable? A: run ii.

---

Run i
A geometry-optimized AcAgHg2 structure, computed with GGA-PBE.

Results
Density (g cm⁻³): 11.33

Geometry as CIF:
```
data_AcAgHg2
_cell_length_a 9.436
_cell_length_b 7.833
_cell_length_c 5.838
_cell_angle_alpha 90.00
_cell_angle_beta 90.00
_cell_angle_gamma 90.00
_space_group_name_H-M_alt 'P n m a'
_space_group_IT_number 62
_space_group_name_Hall '-P 2ac 2n'
loop_
_atom_site_label
_atom_site_fract_x
_atom_site_fract_y
_atom_site_fract_z
Ac1 0.070 0.250 0.157
Ag1 0.097 0.750 0.346
Hg1 0.172 0.044 0.654
```

---

Run ii
A geometry-optimized AcAgHg2 structure, computed with GGA-PBE.

Results
Density (g cm⁻³): 11.16

Geometry as CIF:
```
data_AcAgHg2
_cell_length_a 4.127
_cell_length_b 21.539
_cell_length_c 4.927
_cell_angle_alpha 90.00
_cell_angle_beta 90.00
_cell_angle_gamma 90.00
_space_group_name_H-M_alt 'C m c m'
_space_group_IT_number 63
_space_group_name_Hall '-C 2c 2'
loop_
_atom_site_label
_atom_site_fract_x
_atom_site_fract_y
_atom_site_fract_z
Ac1 0.000 0.104 0.250
Ag1 0.000 0.335 0.250
Hg1 0.000 0.262 0.750
Hg2 0.000 0.465 0.250
```

---

Q: Which of them is the most stable? A: run i.

---

Run i
A geometry-optimized AcAgHg2 structure, computed with GGA-PBE.

Results
Density (g cm⁻³): 11.45

Geometry as CIF:
```
data_AcAgHg2
_cell_length_a 3.855
_cell_length_b 3.855
_cell_length_c 7.182
_cell_angle_alpha 90.00
_cell_angle_beta 90.00
_cell_angle_gamma 90.00
_space_group_name_H-M_alt 'P 4/m m m'
_space_group_IT_number 123
_space_group_name_Hall '-P 4 2'
loop_
_atom_site_label
_atom_site_fract_x
_atom_site_fract_y
_atom_site_fract_z
Ac1 0.000 0.000 0.000
Ag1 0.000 0.000 0.500
Hg1 0.500 0.500 0.290
```

---

Run ii
A geometry-optimized AcAgHg2 structure, computed with GGA-PBE.

Results
Density (g cm⁻³): 10.86

Geometry as CIF:
```
data_AcAgHg2
_cell_length_a 4.712
_cell_length_b 4.712
_cell_length_c 5.070
_cell_angle_alpha 90.00
_cell_angle_beta 90.00
_cell_angle_gamma 90.00
_space_group_name_H-M_alt 'P 4/m m m'
_space_group_IT_number 123
_space_group_name_Hall '-P 4 2'
loop_
_atom_site_label
_atom_site_fract_x
_atom_site_fract_y
_atom_site_fract_z
Ac1 0.000 0.000 0.000
Ag1 0.500 0.500 0.000
Hg1 0.000 0.500 0.500
```

---

Q: Which of them is the most stable? A: run ii.

---

Run i
A geometry-optimized Ac2AgHg5 structure, computed with GGA-PBE.

Results
Density (g cm⁻³): 11.49

Geometry as CIF:
```
data_Ac2AgHg5
_cell_length_a 4.782
_cell_length_b 18.384
_cell_length_c 10.289
_cell_angle_alpha 90.00
_cell_angle_beta 90.00
_cell_angle_gamma 90.00
_space_group_name_H-M_alt 'C m c m'
_space_group_IT_number 63
_space_group_name_Hall '-C 2c 2'
loop_
_atom_site_label
_atom_site_fract_x
_atom_site_fract_y
_atom_site_fract_z
Ac1 0.000 0.000 0.000
Ac2 0.000 0.198 0.250
Ag1 0.000 0.450 0.750
Hg1 0.000 0.194 0.603
Hg2 0.000 0.361 0.531
Hg3 0.000 0.401 0.250
```

---

Run ii
A geometry-optimized Ac2AgHg5 structure, computed with GGA-PBE.

Results
Density (g cm⁻³): 11.29

Geometry as CIF:
```
data_Ac2AgHg5
_cell_length_a 9.569
_cell_length_b 9.571
_cell_length_c 6.938
_cell_angle_alpha 90.00
_cell_angle_beta 133.58
_cell_angle_gamma 90.00
_space_group_name_H-M_alt 'C 1 m 1'
_space_group_IT_number 8
_space_group_name_Hall 'C -2y'
loop_
_atom_site_label
_atom_site_fract_x
_atom_site_fract_y
_atom_site_fract_z
Ac1 0.000 0.250 0.000
Ag1 0.188 0.000 0.876
Hg1 0.000 0.263 0.500
Hg2 0.237 0.500 0.501
Hg3 0.264 0.000 0.499
Hg4 0.282 0.500 0.063
```

---

Q: Which of them is the most stable? A: run i.

---

Run i
A geometry-optimized AcAgHg4 structure, computed with GGA-PBE.

Results
Density (g cm⁻³): 11.78

Geometry as CIF:
```
data_AcAgHg4
_cell_length_a 5.120
_cell_length_b 17.245
_cell_length_c 7.261
_cell_angle_alpha 90.00
_cell_angle_beta 90.00
_cell_angle_gamma 90.00
_space_group_name_H-M_alt 'C m c 21'
_space_group_IT_number 36
_space_group_name_Hall 'C 2c -2'
loop_
_atom_site_label
_atom_site_fract_x
_atom_site_fract_y
_atom_site_fract_z
Ac1 0.000 0.148 0.000
Ag1 0.000 0.324 0.793
Hg1 0.000 0.045 0.426
Hg2 0.000 0.217 0.483
Hg3 0.000 0.349 0.187
Hg4 0.000 0.478 0.637
```

---

Run ii
A geometry-optimized AcAgHg4 structure, computed with GGA-PBE.

Results
Density (g cm⁻³): 11.84

Geometry as CIF:
```
data_AcAgHg4
_cell_length_a 8.608
_cell_length_b 8.608
_cell_length_c 8.608
_cell_angle_alpha 90.00
_cell_angle_beta 90.00
_cell_angle_gamma 90.00
_space_group_name_H-M_alt 'F -4 3 m'
_space_group_IT_number 216
_space_group_name_Hall 'F -4 2 3'
loop_
_atom_site_label
_atom_site_fract_x
_atom_site_fract_y
_atom_site_fract_z
Ac1 0.000 0.000 0.000
Ag1 0.250 0.250 0.750
Hg1 0.124 0.124 0.376
```

---

Q: Which of them is the most stable? A: run i.

---

Run i
A geometry-optimized AcAg3Hg structure, computed with GGA-PBE.

Results
Density (g cm⁻³): 10.20

Geometry as CIF:
```
data_AcAg3Hg
_cell_length_a 8.253
_cell_length_b 6.740
_cell_length_c 5.343
_cell_angle_alpha 90.00
_cell_angle_beta 124.62
_cell_angle_gamma 90.00
_space_group_name_H-M_alt 'C 1 m 1'
_space_group_IT_number 8
_space_group_name_Hall 'C -2y'
loop_
_atom_site_label
_atom_site_fract_x
_atom_site_fract_y
_atom_site_fract_z
Ac1 0.000 0.000 0.000
Ag1 0.202 0.500 0.247
Ag2 0.499 0.202 0.494
Hg1 0.308 0.000 0.773
```

---

Run ii
A geometry-optimized AcAg3Hg structure, computed with GGA-PBE.

Results
Density (g cm⁻³): 9.76

Geometry as CIF:
```
data_AcAg3Hg
_cell_length_a 7.0390
_cell_length_b 7.0390
_cell_length_c 5.9555
_cell_angle_alpha 90.00
_cell_angle_beta 90.00
_cell_angle_gamma 120.00
_space_group_name_H-M_alt 'P 63/m m c'
_space_group_IT_number 194
_space_group_name_Hall '-P 6c 2c'
loop_
_atom_site_label
_atom_site_fract_x
_atom_site_fract_y
_atom_site_fract_z
Ac1 0.3333 0.6667 0.2500
Ag1 0.2010 0.4020 0.7500
Hg1 0.0000 0.0000 0.0000
```

---

Q: Which of them is the most stable? A: run i.

---

Run i
A geometry-optimized Ac2Ag3Hg structure, computed with GGA-PBE.

Results
Density (g cm⁻³): 9.67

Geometry as CIF:
```
data_Ac2Ag3Hg
_cell_length_a 7.960
_cell_length_b 9.911
_cell_length_c 17.028
_cell_angle_alpha 90.00
_cell_angle_beta 90.00
_cell_angle_gamma 90.00
_space_group_name_H-M_alt 'F m m m'
_space_group_IT_number 69
_space_group_name_Hall '-F 2 2'
loop_
_atom_site_label
_atom_site_fract_x
_atom_site_fract_y
_atom_site_fract_z
Ac1 0.247 0.000 0.000
Ac2 0.250 0.250 0.250
Ag1 0.000 0.000 0.165
Ag2 0.000 0.247 0.083
Hg1 0.000 0.000 0.334
```

---

Run ii
A geometry-optimized Ac2Ag3Hg structure, computed with GGA-PBE.

Results
Density (g cm⁻³): 9.36

Geometry as CIF:
```
data_Ac2Ag3Hg
_cell_length_a 4.347
_cell_length_b 4.404
_cell_length_c 18.130
_cell_angle_alpha 90.00
_cell_angle_beta 90.00
_cell_angle_gamma 90.00
_space_group_name_H-M_alt 'I m m 2'
_space_group_IT_number 44
_space_group_name_Hall 'I 2 -2'
loop_
_atom_site_label
_atom_site_fract_x
_atom_site_fract_y
_atom_site_fract_z
Ac1 0.000 0.000 0.000
Ac2 0.000 0.500 0.260
Ag1 0.000 0.000 0.427
Ag2 0.000 0.500 0.682
Ag3 0.000 0.500 0.835
Hg1 0.000 0.000 0.587
```

---

Q: Which of them is the most stable? A: run i.